# NbS

Crystalline NbS at its relaxed geometry (GGA-PBE, Alexandria via LeMat-Bulk).

Calculated values
The value obtained for the total magnetization is 0.00 μB/cell. Its symmetry is P6_3/m (176). As for the crystal system: hexagonal. The value obtained for the density is 4.864 g/cm³. For the formation energy from raw total energies, the calculation gives -0.788 eV per atom.

abc: 8.9432 8.9432 3.6956
angles: 90.00 90.00 120.00
Closest atoms and distances in Å follow each position.
Element x y z (fractional)
Nb (0.1233, 0.6377, 0.2500)  4 S 2.44-2.52
Nb (0.3623, 0.4856, 0.2500)  4 S 2.44-2.52
Nb (0.4856, 0.1233, 0.7500)  4 S 2.44-2.52
Nb (0.5144, 0.8767, 0.2500)  4 S 2.44-2.52
Nb (0.6377, 0.5144, 0.7500)  4 S 2.44-2.52
Nb (0.8767, 0.3623, 0.7500)  4 S 2.44-2.52
S (0.0368, 0.3312, 0.2500)  4 Nb 2.44-2.52
S (0.2944, 0.9632, 0.2500)  4 Nb 2.44-2.52
S (0.3312, 0.2944, 0.7500)  4 Nb 2.44-2.52
S (0.6688, 0.7056, 0.2500)  4 Nb 2.44-2.52
S (0.7056, 0.0368, 0.7500)  4 Nb 2.44-2.52
S (0.9632, 0.6688, 0.7500)  4 Nb 2.44-2.52

***

# Nb3S2

Crystalline Nb3S2 at its relaxed geometry (GGA-PBE, Alexandria via LeMat-Bulk).

Calculated values
The value obtained for the total magnetization is 0.00 μB/cell. Its symmetry is P2_1/m (11). As for the crystal system: monoclinic. The value obtained for the density is 6.485 g/cm³. For the formation energy from raw total energies, the calculation gives -0.549 eV per atom.

abc: 6.3529 3.1857 9.0845
angles: 90.00 107.27 90.00
Closest atoms and distances in Å follow each position.
Element x y z (fractional)
Nb (0.1462, 0.2500, 0.2399)  3 S 2.49-2.54, 1 Nb 2.69
Nb (0.1713, 0.2500, 0.6563)  5 S 2.55-2.60
Nb (0.2388, 0.7500, 0.9864)  3 S 2.52-2.67, 1 Nb 2.69
Nb (0.7612, 0.2500, 0.0136)  3 S 2.52-2.67, 1 Nb 2.69
Nb (0.8287, 0.7500, 0.3437)  5 S 2.55-2.60
Nb (0.8538, 0.7500, 0.7601)  3 S 2.49-2.54, 1 Nb 2.69
S (0.2487, 0.7500, 0.4599)  5 Nb 2.49-2.56
S (0.4822, 0.7500, 0.8118)  6 Nb 2.52-2.67
S (0.5178, 0.2500, 0.1882)  6 Nb 2.52-2.67
S (0.7513, 0.2500, 0.5401)  5 Nb 2.49-2.56

***

# NbS3

Crystalline NbS3 at its relaxed geometry (GGA-PBE, Alexandria via LeMat-Bulk).

Calculated values
The value obtained for the total magnetization is 0.00 μB/cell. Its symmetry is P-1 (2). As for the crystal system: triclinic. The value obtained for the density is 3.673 g/cm³. For the formation energy from raw total energies, the calculation gives -0.769 eV per atom.

abc: 5.0320 6.8043 10.0528
angles: 90.13 96.59 90.01
Closest atoms and distances in Å follow each position.
Element x y z (fractional)
Nb (0.2172, 0.0977, 0.3573)  8 S 2.47-2.66
Nb (0.2191, 0.6487, 0.3653)  8 S 2.50-2.69
Nb (0.7809, 0.3513, 0.6347)  8 S 2.50-2.69
Nb (0.7828, 0.9023, 0.6427)  8 S 2.47-2.66
S (0.0161, 0.6238, 0.7881)  1 S 2.02
S (0.0233, 0.1325, 0.8128)  1 S 2.02
S (0.2591, 0.3663, 0.5398)  4 Nb 2.58-2.69
S (0.2633, 0.8855, 0.5576)  4 Nb 2.47-2.66
S (0.3780, 0.8676, 0.1865)  1 S 2.02
S (0.3848, 0.3762, 0.2123)  1 S 2.02
S (0.6152, 0.6238, 0.7877)  1 S 2.02
S (0.6220, 0.1324, 0.8135)  1 S 2.02
S (0.7367, 0.1145, 0.4424)  4 Nb 2.47-2.66
S (0.7409, 0.6337, 0.4602)  4 Nb 2.58-2.69
S (0.9767, 0.8675, 0.1872)  1 S 2.02
S (0.9839, 0.3762, 0.2119)  1 S 2.02

***

# Nb14S5

Crystalline Nb14S5 at its relaxed geometry (GGA-PBE, Alexandria via LeMat-Bulk).

Calculated values
The value obtained for the total magnetization is 0.00 μB/cell. Its symmetry is Pnma (62). As for the crystal system: orthorhombic. The value obtained for the density is 7.650 g/cm³. For the formation energy from raw total energies, the calculation gives -0.552 eV per atom.

abc: 18.6767 3.4032 19.9593
angles: 90.00 90.00 90.00
Closest atoms and distances in Å follow each position.
Element x y z (fractional)
Nb (0.0086, 0.2500, 0.2259)  3 S 2.51-2.56
Nb (0.0335, 0.7500, 0.4557)  1 S 2.70, 8 Nb 2.76-3.00
Nb (0.0512, 0.7500, 0.1150)  2 S 2.50
Nb (0.0510, 0.7500, 0.9498)  3 S 2.49-2.54
Nb (0.0698, 0.7500, 0.6217)  4 S 2.53-2.74
Nb (0.1019, 0.2500, 0.3638)  2 S 2.51, 2 Nb 2.81
Nb (0.1187, 0.2500, 0.8339)  4 S 2.54-2.55
Nb (0.1378, 0.2500, 0.5197)  2 S 2.48
Nb (0.1409, 0.7500, 0.2575)  1 S 2.69, 6 Nb 2.77-2.84
Nb (0.1708, 0.2500, 0.1515)  2 S 2.65-2.72, 6 Nb 2.77-2.94
Nb (0.2008, 0.2500, 0.6778)  4 S 2.58-2.60
Nb (0.2022, 0.7500, 0.0348)  5 S 2.50-2.59
Nb (0.2189, 0.7500, 0.4181)  2 S 2.57
Nb (0.2448, 0.7500, 0.7961)  2 S 2.58-2.62, 2 Nb 2.84
Nb (0.2552, 0.2500, 0.2961)  2 S 2.58-2.62, 2 Nb 2.84
Nb (0.2811, 0.2500, 0.9181)  2 S 2.57
Nb (0.2978, 0.2500, 0.5348)  5 S 2.50-2.59
Nb (0.2992, 0.7500, 0.1778)  4 S 2.58-2.60
Nb (0.3292, 0.7500, 0.6515)  2 S 2.65-2.72, 6 Nb 2.77-2.94
Nb (0.3591, 0.2500, 0.7575)  1 S 2.69, 6 Nb 2.77-2.84
Nb (0.3622, 0.7500, 0.0197)  2 S 2.48
Nb (0.3813, 0.7500, 0.3339)  4 S 2.54-2.55
Nb (0.3981, 0.7500, 0.8638)  2 S 2.51, 2 Nb 2.81
Nb (0.4302, 0.2500, 0.1217)  4 S 2.53-2.74
Nb (0.4490, 0.2500, 0.4498)  3 S 2.49-2.54
Nb (0.4488, 0.2500, 0.6150)  2 S 2.50
Nb (0.4665, 0.2500, 0.9557)  1 S 2.70, 8 Nb 2.76-3.00
Nb (0.4914, 0.7500, 0.7259)  3 S 2.51-2.56
Nb (0.5086, 0.2500, 0.2741)  3 S 2.51-2.56
Nb (0.5335, 0.7500, 0.0443)  1 S 2.70, 8 Nb 2.76-3.00
Nb (0.5512, 0.7500, 0.3850)  2 S 2.50
Nb (0.5510, 0.7500, 0.5502)  3 S 2.49-2.54
Nb (0.5698, 0.7500, 0.8783)  4 S 2.53-2.74
Nb (0.6019, 0.2500, 0.1362)  2 S 2.51, 2 Nb 2.81
Nb (0.6187, 0.2500, 0.6661)  4 S 2.54-2.55
Nb (0.6378, 0.2500, 0.9803)  2 S 2.48
Nb (0.6409, 0.7500, 0.2425)  1 S 2.69, 6 Nb 2.77-2.84
Nb (0.6708, 0.2500, 0.3485)  2 S 2.65-2.72, 6 Nb 2.77-2.94
Nb (0.7008, 0.2500, 0.8222)  4 S 2.58-2.60
Nb (0.7022, 0.7500, 0.4652)  5 S 2.50-2.59
Nb (0.7189, 0.7500, 0.0819)  2 S 2.57
Nb (0.7448, 0.7500, 0.7039)  2 S 2.58-2.62, 2 Nb 2.84
Nb (0.7552, 0.2500, 0.2039)  2 S 2.58-2.62, 2 Nb 2.84
Nb (0.7811, 0.2500, 0.5819)  2 S 2.57
Nb (0.7978, 0.2500, 0.9652)  5 S 2.50-2.59
Nb (0.7992, 0.7500, 0.3222)  4 S 2.58-2.60
Nb (0.8292, 0.7500, 0.8485)  2 S 2.65-2.72, 6 Nb 2.77-2.94
Nb (0.8591, 0.2500, 0.7425)  1 S 2.69, 6 Nb 2.77-2.84
Nb (0.8622, 0.7500, 0.4803)  2 S 2.48
Nb (0.8813, 0.7500, 0.1661)  4 S 2.54-2.55
Nb (0.8981, 0.7500, 0.6362)  2 S 2.51, 2 Nb 2.81
Nb (0.9302, 0.2500, 0.3783)  4 S 2.53-2.74
Nb (0.9490, 0.2500, 0.0502)  3 S 2.49-2.54
Nb (0.9488, 0.2500, 0.8850)  2 S 2.50
Nb (0.9665, 0.2500, 0.5443)  1 S 2.70, 8 Nb 2.76-3.00
Nb (0.9914, 0.7500, 0.7741)  3 S 2.51-2.56
S (0.0141, 0.7500, 0.3215)  8 Nb 2.51-2.70
S (0.0975, 0.2500, 0.0340)  8 Nb 2.50-2.79
S (0.1207, 0.7500, 0.7392)  7 Nb 2.51-2.58
S (0.1780, 0.7500, 0.9113)  7 Nb 2.49-2.62
S (0.2098, 0.7500, 0.5800)  8 Nb 2.48-2.74
S (0.2902, 0.2500, 0.0800)  8 Nb 2.48-2.74
S (0.3220, 0.2500, 0.4113)  7 Nb 2.49-2.62
S (0.3793, 0.2500, 0.2392)  7 Nb 2.51-2.58
S (0.4025, 0.7500, 0.5340)  8 Nb 2.50-2.79
S (0.4859, 0.2500, 0.8215)  8 Nb 2.51-2.70
S (0.5141, 0.7500, 0.1785)  8 Nb 2.51-2.70
S (0.5975, 0.2500, 0.4660)  8 Nb 2.50-2.79
S (0.6207, 0.7500, 0.7608)  7 Nb 2.51-2.58
S (0.6780, 0.7500, 0.5887)  7 Nb 2.49-2.62
S (0.7098, 0.7500, 0.9200)  8 Nb 2.48-2.74
S (0.7902, 0.2500, 0.4200)  8 Nb 2.48-2.74
S (0.8220, 0.2500, 0.0887)  7 Nb 2.49-2.62
S (0.8793, 0.2500, 0.2608)  7 Nb 2.51-2.58
S (0.9025, 0.7500, 0.9660)  8 Nb 2.50-2.79
S (0.9859, 0.2500, 0.6785)  8 Nb 2.51-2.70

***

# NbS2

Crystalline NbS2 at its relaxed geometry (GGA-PBE, Alexandria via LeMat-Bulk).

Calculated values
The value obtained for the total magnetization is 0.00 μB/cell. Its symmetry is P6_3/mmc (194). As for the crystal system: hexagonal. The value obtained for the density is 4.035 g/cm³. For the formation energy from raw total energies, the calculation gives -1.029 eV per atom.

abc: 3.3556 3.3556 13.2559
angles: 90.00 90.00 120.00
Closest atoms and distances in Å follow each position.
Element x y z (fractional)
Nb (0.0000, 0.0000, 0.2500)  6 S 2.49
Nb (0.0000, 0.0000, 0.7500)  6 S 2.49
S (0.3333, 0.6667, 0.1317)  3 Nb 2.49
S (0.3333, 0.6667, 0.3683)  3 Nb 2.49
S (0.6667, 0.3333, 0.6317)  3 Nb 2.49
S (0.6667, 0.3333, 0.8683)  3 Nb 2.49

***

# NbS

Crystalline NbS at its relaxed geometry (GGA-PBE, Alexandria via LeMat-Bulk).

Calculated values
The value obtained for the total magnetization is 0.00 μB/cell. Its symmetry is P-6m2 (187). As for the crystal system: hexagonal. The value obtained for the density is 6.549 g/cm³. For the formation energy from raw total energies, the calculation gives -0.905 eV per atom.

abc: 3.3161 3.3161 3.3272
angles: 90.00 90.00 120.00
Closest atoms and distances in Å follow each position.
Element x y z (fractional)
Nb (0.0000, 0.0000, 0.0000)  6 S 2.54
S (0.3333, 0.6667, 0.5000)  6 Nb 2.54

***

# NbS

Crystalline NbS at its relaxed geometry (GGA-PBE, Alexandria via LeMat-Bulk).

Calculated values
The value obtained for the total magnetization is 0.00 μB/cell. Its symmetry is P6_3/mmc (194). As for the crystal system: hexagonal. The value obtained for the density is 6.567 g/cm³. For the formation energy from raw total energies, the calculation gives -0.924 eV per atom.

abc: 3.3051 3.3051 6.6803
angles: 90.00 90.00 120.00
Closest atoms and distances in Å follow each position.
Element x y z (fractional)
Nb (0.0000, 0.0000, 0.0000)  6 S 2.54
Nb (0.0000, 0.0000, 0.5000)  6 S 2.54
S (0.3333, 0.6667, 0.2500)  6 Nb 2.54
S (0.6667, 0.3333, 0.7500)  6 Nb 2.54

***

# NbS3

Crystalline NbS3 at its relaxed geometry (GGA-PBE, Alexandria via LeMat-Bulk).

Calculated values
The value obtained for the total magnetization is 0.00 μB/cell. Its symmetry is P2_1/m (11). As for the crystal system: monoclinic. The value obtained for the density is 3.831 g/cm³. For the formation energy from raw total energies, the calculation gives -0.749 eV per atom.

abc: 4.9174 3.3664 10.1992
angles: 90.00 103.84 90.00
Closest atoms and distances in Å follow each position.
Element x y z (fractional)
Nb (0.1783, 0.2500, 0.3555)  8 S 2.54-2.64
Nb (0.8217, 0.7500, 0.6445)  8 S 2.54-2.64
S (0.1218, 0.2500, 0.8027)  1 S 2.18
S (0.2736, 0.7500, 0.5476)  4 Nb 2.54-2.64
S (0.3215, 0.7500, 0.1973)  1 S 2.18
S (0.6785, 0.2500, 0.8027)  1 S 2.18
S (0.7264, 0.2500, 0.4524)  4 Nb 2.54-2.64
S (0.8782, 0.7500, 0.1973)  1 S 2.18

***

# Nb5S2

Crystalline Nb5S2 at its relaxed geometry (GGA-PBE, Alexandria via LeMat-Bulk).

Calculated values
The value obtained for the total magnetization is 0.00 μB/cell. Its symmetry is C2/c (15). As for the crystal system: monoclinic. The value obtained for the density is 7.526 g/cm³. For the formation energy from raw total energies, the calculation gives -0.502 eV per atom.

abc: 7.5272 7.5272 6.0114
angles: 95.11 95.11 43.48
Closest atoms and distances in Å follow each position.
Element x y z (fractional)
Nb (0.0926, 0.3553, 0.2772)  3 S 2.51-2.59
Nb (0.0928, 0.9072, 0.7500)  4 S 2.45-2.48
Nb (0.3295, 0.4845, 0.0826)  2 S 2.47-2.48
Nb (0.3553, 0.0926, 0.7772)  3 S 2.51-2.59
Nb (0.4845, 0.3295, 0.5826)  2 S 2.47-2.48
Nb (0.5155, 0.6705, 0.4174)  2 S 2.47-2.48
Nb (0.6447, 0.9074, 0.2228)  3 S 2.51-2.59
Nb (0.6705, 0.5155, 0.9174)  2 S 2.47-2.48
Nb (0.9072, 0.0928, 0.2500)  4 S 2.45-2.48
Nb (0.9074, 0.6447, 0.7228)  3 S 2.51-2.59
S (0.0600, 0.7131, 0.4157)  7 Nb 2.45-2.59
S (0.2869, 0.9400, 0.0843)  7 Nb 2.45-2.59
S (0.7131, 0.0600, 0.9157)  7 Nb 2.45-2.59
S (0.9400, 0.2869, 0.5843)  7 Nb 2.45-2.59

***

# NbS2

Crystalline NbS2 at its relaxed geometry (GGA-PBE, Alexandria via LeMat-Bulk).

Calculated values
The value obtained for the total magnetization is 0.00 μB/cell. Its symmetry is P1 (1). As for the crystal system: triclinic. The value obtained for the density is 4.005 g/cm³. For the formation energy from raw total energies, the calculation gives -1.004 eV per atom.

abc: 3.3745 3.3748 19.8894
angles: 94.51 90.06 119.99
Closest atoms and distances in Å follow each position.
Element x y z (fractional)
Nb (0.0000, 0.0000, 0.0000)  6 S 2.49-2.50
Nb (0.0477, 0.1890, 0.3256)  6 S 2.49
Nb (0.4102, 0.1701, 0.6654)  6 S 2.49
S (0.0519, 0.4545, 0.5869)  3 Nb 2.49
S (0.3085, 0.6174, 0.9212)  3 Nb 2.50
S (0.3582, 0.7156, 0.0787)  3 Nb 2.49-2.50
S (0.4057, 0.9045, 0.4041)  3 Nb 2.49
S (0.6897, 0.4738, 0.2474)  3 Nb 2.49
S (0.7686, 0.8853, 0.7436)  3 Nb 2.49